# 1
A plane-wave DFT calculation with PBE-GGA was carried out for CaMn2InCl6 after structural relaxation.

Output
ΔE_f (raw): -1.175 eV per atom
crystal system: trigonal
D(E_F): 18.54 states/eV/cell

a = 6.9332 Å, b = 6.9332 Å, c = 18.1006 Å
α = 90.00°, β = 90.00°, γ = 120.00°
With the nearest neighbours (Å) after each atom.
Space group R3 (No. 146, hexagonal axes)
Symmetry-distinct sites (fractional):
Ca (0.0000, 0.0000, 0.0000) (multiplicity 3)  6 Cl 2.77-2.81
Mn (0.0000, 0.0000, 0.3104) (multiplicity 3)  6 Cl 2.55-2.63
Mn (0.0000, 0.0000, 0.8041) (multiplicity 3)  6 Cl 2.60-2.61
In (0.0000, 0.0000, 0.5310) (multiplicity 3)  6 Cl 3.08-3.33
Cl (0.0053, 0.4388, 0.5620) (multiplicity 9)  2 Mn 2.55-2.61, 1 Ca 2.77
Cl (0.0427, 0.7085, 0.3919) (multiplicity 9)  2 Mn 2.60-2.63, 1 Ca 2.81



# 2
A plane-wave DFT calculation with PBE-GGA was carried out for CsZrTl2F8 after structural relaxation.

Output
ΔE_f (raw): -2.716 eV per atom
crystal system: triclinic
D(E_F): 4.62 states/eV/cell

a = 5.3026 Å, b = 5.9407 Å, c = 8.2156 Å
α = 90.06°, β = 90.06°, γ = 90.74°
With the nearest neighbours (Å) after each atom.
Space group P-1 (No. 2)
Symmetry-distinct sites (fractional):
Cs (0.0000, 0.0000, 0.0000) (multiplicity 1)  6 F 2.92-3.00
Zr (0.0000, 0.0000, 0.5000) (multiplicity 1)  6 F 2.05
Tl (0.5001, 0.5001, 0.2473) (multiplicity 2)  4 F 2.42-2.68
F (0.1444, 0.7992, 0.3207) (multiplicity 2)  1 Zr 2.05
F (0.1452, 0.7999, 0.6792) (multiplicity 2)  1 Zr 2.05
F (0.3098, 0.2104, 0.4999) (multiplicity 2)  1 Zr 2.05
F (0.4559, 0.2802, 0.9998) (multiplicity 2)  2 Tl 2.42, 1 F 2.65



# 3
A plane-wave DFT calculation with PBE-GGA was carried out for CaMoIBr2 after structural relaxation.

Output
ΔE_f (raw): -0.331 eV per atom
crystal system: tetragonal
D(E_F): 2.55 states/eV/cell

a = 4.9027 Å, b = 4.9027 Å, c = 6.4489 Å
α = 90.00°, β = 90.00°, γ = 90.00°
With the nearest neighbours (Å) after each atom.
Space group P4/mmm (No. 123)
Symmetry-distinct sites (fractional):
Ca (0.0000, 0.0000, 0.0000) (multiplicity 1)  2 Mo 3.22, 4 I 3.47
Mo (0.0000, 0.0000, 0.5000) (multiplicity 1)  4 Br 2.45
I (0.5000, 0.5000, 0.0000) (multiplicity 1)  4 Ca 3.47
Br (0.0000, 0.5000, 0.5000) (multiplicity 2)  2 Mo 2.45



# 4
A plane-wave DFT calculation with PBE-GGA was carried out for Pb2WBr after structural relaxation.

Output
ΔE_f (raw): 0.563 eV per atom
crystal system: orthorhombic
D(E_F): 4.86 states/eV/cell
E above lowest polymorph: 1.93 kcal/mol of atoms

a = 3.1907 Å, b = 5.0132 Å, c = 14.4617 Å
α = 90.00°, β = 90.00°, γ = 90.00°
With the nearest neighbours (Å) after each atom.
Space group Imm2 (No. 44)
Symmetry-distinct sites (fractional):
Pb (0.0000, 0.0000, 0.0000) (multiplicity 2)  2 W 3.05, 2 Pb 3.19
Pb (0.0000, 0.5000, 0.1706) (multiplicity 2)  4 W 2.97, 2 Pb 3.19
W (0.0000, 0.5000, 0.6799) (multiplicity 2)  2 Br 2.65
Br (0.0000, 0.0000, 0.3261) (multiplicity 2)  2 W 2.65



# 5
A plane-wave DFT calculation with PBE-GGA was carried out for K2LiBiRh after structural relaxation.

Output
energy of formation from the pure elements: 53 kJ per mole of atoms
crystal system: tetragonal
D(E_F): 2.49 states/eV/cell

a = 5.6701 Å, b = 5.6701 Å, c = 5.0164 Å
α = 90.00°, β = 90.00°, γ = 90.00°
With the nearest neighbours (Å) after each atom.
Space group P4/mmm (No. 123)
Symmetry-distinct sites (fractional):
K (0.0000, 0.5000, 0.0000) (multiplicity 2)  2 Li 2.84
Li (0.0000, 0.0000, 0.0000) (multiplicity 1)  2 Bi 2.51
Bi (0.0000, 0.0000, 0.5000) (multiplicity 1)  2 Li 2.51
Rh (0.5000, 0.5000, 0.5000) (multiplicity 1)  8 K 3.79, 4 Bi 4.01



# 6
A plane-wave DFT calculation with PBE-GGA was carried out for TbPm2Dy3S6 after structural relaxation.

Output
ΔE_f (raw): -2.014 eV per atom
crystal system: monoclinic
D(E_F): 10.23 states/eV/cell

a = 6.8199 Å, b = 11.8575 Å, c = 6.8613 Å
α = 90.00°, β = 109.40°, γ = 90.00°
With the nearest neighbours (Å) after each atom.
Space group C2/m (No. 12)
Symmetry-distinct sites (fractional):
Tb (0.0000, 0.0000, 0.0000) (multiplicity 2)  6 S 2.79-2.80
Pm (0.0000, 0.3330, 0.0000) (multiplicity 4)  6 S 2.84-2.85
Dy (0.0000, 0.1693, 0.5000) (multiplicity 4)  6 S 2.75-2.77
Dy (0.0000, 0.5000, 0.5000) (multiplicity 2)  6 S 2.75-2.79
S (0.2408, 0.0000, 0.7400) (multiplicity 4)  3 Dy 2.76-2.79, 1 Tb 2.80, 2 Pm 2.85
S (0.2498, 0.1638, 0.2580) (multiplicity 8)  3 Dy 2.75-2.77, 1 Tb 2.79, 2 Pm 2.84



# 7
A plane-wave DFT calculation with PBE-GGA was carried out for Er5Tm2Th2 after structural relaxation.

Output
energy of formation from the pure elements: 24 kJ per mole of atoms
crystal system: orthorhombic
D(E_F): 54.42 states/eV/cell
E above lowest polymorph: 3.81 kcal/mol of atoms

a = 14.7188 Å, b = 11.7831 Å, c = 6.5619 Å
α = 90.00°, β = 90.00°, γ = 90.00°
With the nearest neighbours (Å) after each atom.
Space group Ima2 (No. 46)
Symmetry-distinct sites (fractional):
Er (0.0534, 0.2451, 0.0000) (multiplicity 8)  6 Er 3.16-3.54, 1 Th 3.25, 1 Tm 3.38
Er (0.1424, 0.7264, 0.8057) (multiplicity 8)  5 Er 3.17-3.52, 2 Th 3.31-3.47, 2 Tm 3.35-3.53
Er (0.2500, 0.2300, 0.8078) (multiplicity 4)  6 Er 3.16-3.54, 2 Th 3.38-3.43, 2 Tm 3.43
Tm (0.1252, 0.5022, 0.1607) (multiplicity 8)  4 Er 3.35-3.53, 2 Th 3.58-3.59, 2 Tm 3.67-3.69
Th (0.0000, 0.0000, 0.1930) (multiplicity 4)  4 Er 3.25-3.47, 2 Tm 3.58
Th (0.2500, 0.0007, 0.1307) (multiplicity 4)  4 Er 3.31-3.43, 2 Tm 3.59, 2 Th 3.70



# 8
A plane-wave DFT calculation with PBE-GGA was carried out for La2AsRh after structural relaxation.

Output
energy of formation from the pure elements: -88 kJ per mole of atoms
crystal system: tetragonal
D(E_F): 1.87 states/eV/cell

a = 5.1329 Å, b = 5.1329 Å, c = 3.7431 Å
α = 90.00°, β = 90.00°, γ = 90.00°
With the nearest neighbours (Å) after each atom.
Space group P4/mmm (No. 123)
Symmetry-distinct sites (fractional):
La (0.0000, 0.5000, 0.0000) (multiplicity 2)  4 As 3.18, 4 Rh 3.18
As (0.0000, 0.0000, 0.5000) (multiplicity 1)  8 La 3.18
Rh (0.5000, 0.5000, 0.5000) (multiplicity 1)  8 La 3.18



# 9
A plane-wave DFT calculation with PBE-GGA was carried out for RbBaNb after structural relaxation.

Output
energy of formation from the pure elements: 125 kJ per mole of atoms
crystal system: hexagonal
D(E_F): 6.01 states/eV/cell
E above lowest polymorph: 19.32 kcal/mol of atoms

a = 6.4521 Å, b = 6.4521 Å, c = 7.5864 Å
α = 90.00°, β = 90.00°, γ = 120.00°
With the nearest neighbours (Å) after each atom.
Space group P6_3/mmc (No. 194)
Symmetry-distinct sites (fractional):
Rb (0.0000, 0.0000, 0.0000) (multiplicity 2)  2 Rb 3.79, 6 Ba 4.18, 6 Nb 4.18
Ba (0.3333, 0.6667, 0.2500) (multiplicity 2)  5 Nb 3.73-3.79
Nb (0.3333, 0.6667, 0.7500) (multiplicity 2)  5 Ba 3.73-3.79



# 10
A plane-wave DFT calculation with PBE-GGA was carried out for CuWBr2 after structural relaxation.

Output
ΔE_f (raw): 1.073 eV per atom
crystal system: cubic
D(E_F): 15.68 states/eV/cell
E above lowest polymorph: 18.48 kcal/mol of atoms

a = 6.5073 Å, b = 6.5073 Å, c = 6.5073 Å
α = 90.00°, β = 90.00°, γ = 90.00°
With the nearest neighbours (Å) after each atom.
Space group Fm-3m (No. 225)
Symmetry-distinct sites (fractional):
Cu (0.0000, 0.0000, 0.0000) (multiplicity 4)  8 Br 2.82
W (0.0000, 0.0000, 0.5000) (multiplicity 4)  8 Br 2.82
Br (0.2500, 0.2500, 0.2500) (multiplicity 8)  4 W 2.82, 4 Cu 2.82



# 11
A plane-wave DFT calculation with PBE-GGA was carried out for VSnCl6 after structural relaxation.

Output
ΔE_f (raw): -1.033 eV per atom
crystal system: monoclinic
D(E_F): 13.46 states/eV/cell

a = 6.4239 Å, b = 11.8791 Å, c = 6.4037 Å
α = 90.00°, β = 106.15°, γ = 90.00°
With the nearest neighbours (Å) after each atom.
Space group C2/m (No. 12)
Symmetry-distinct sites (fractional):
V (0.0000, 0.0000, 0.0000) (multiplicity 2)  6 Cl 2.34
Sn (0.0000, 0.5000, 0.5000) (multiplicity 2)  6 Cl 2.75-2.79
Cl (0.2143, 0.1391, 0.2157) (multiplicity 8)  1 V 2.34
Cl (0.2283, 0.0000, 0.7722) (multiplicity 4)  1 V 2.34



# 12
A plane-wave DFT calculation with PBE-GGA was carried out for Hg3TeO after structural relaxation.

Output
ΔE_f (raw): 0.142 eV per atom
crystal system: cubic
D(E_F): 1.95 states/eV/cell
E above lowest polymorph: 0.00 kcal/mol of atoms

a = 4.8890 Å, b = 4.8890 Å, c = 4.8890 Å
α = 90.00°, β = 90.00°, γ = 90.00°
With the nearest neighbours (Å) after each atom.
Space group Pm-3m (No. 221)
Symmetry-distinct sites (fractional):
Hg (0.0000, 0.0000, 0.5000) (multiplicity 3)  2 O 2.44
Te (0.5000, 0.5000, 0.5000) (multiplicity 1)  12 Hg 3.46
O (0.0000, 0.0000, 0.0000) (multiplicity 1)  6 Hg 2.44